Record 1
VASP calculation (PBE-GGA) on a relaxed structure of Ni2IrRu2.

Cell: 4.263 4.586 6.974 Å, 108.51 90.00 90.00°
Fractional coordinates of all 10 atoms:
Ni 0.250 0.371 0.406
Ni 0.750 0.436 0.207
Ni 0.750 0.629 0.594
Ni 0.250 0.564 0.793
Ir 0.250 0.756 0.202
Ir 0.750 0.244 0.798
Ru 0.750 0.827 0.989
Ru 0.250 0.960 0.600
Ru 0.750 0.040 0.400
Ru 0.250 0.173 0.011

- formation energy from the elements (eV/atom) = 0.0374
- final energy (eV/atom) = -7.76
- excess energy over the best structure of this formula in the dataset (kcal/mol of atoms) = 0.00

---

Record 2
VASP calculation (PBE-GGA) on a relaxed structure of NiIr4Ru.

Cell: 4.865 6.791 6.791 Å, 100.48 110.45 110.45°
Fractional coordinates of all 12 atoms:
Ni 0.690 0.933 0.933
Ni 0.310 0.067 0.067
Ir 0.684 0.431 0.431
Ir 0.500 0.199 0.801
Ir 0.885 0.618 0.878
Ir 0.115 0.122 0.382
Ir 0.316 0.569 0.569
Ir 0.500 0.801 0.199
Ir 0.115 0.382 0.122
Ir 0.885 0.878 0.618
Ru 0.000 0.286 0.714
Ru 0.000 0.714 0.286

- formation energy from the elements (eV/atom) = 0.4443
- final energy (eV/atom) = -7.97
- excess energy over the best structure of this formula in the dataset (kcal/mol of atoms) = 10.13

---

- What is the final energy in the second record?
  -7.97 eV/atom